GGA-PBE CaMnP2, relaxed; ΔE to the lowest computed polymorph = 0.2791 eV per atom; DOS at the Fermi energy = 2.4 states/eV per cell; final energy = -5.97 eV/atom; calculated formation energy = -0.476 eV per atom
1.0
-2.388 2.388 7.135
2.388 -2.388 7.135
2.388 2.388 -7.135
Ca Mn P
2 2 4
Cartesian
2.388 1.194 1.784 Ca
0.000 1.194 5.352 Ca
2.388 -1.194 5.352 Mn
0.000 3.583 1.784 Mn
0.000 0.000 0.000 P
1.194 1.194 -3.568 P
1.194 -1.194 3.568 P
0.000 2.388 0.000 P

GGA-PBE SbIr, relaxed; E_form (uncorrected) = 72 meV/atom; DOS at the Fermi energy = 8.1 states/eV per cell; final energy = -6.42 eV/atom
1.0
4.273 0.000 0.000
-2.136 3.700 0.000
0.000 0.000 16.024
Sb Ir
6 6
Cartesian
0.000 0.000 1.684 Sb
0.000 0.000 14.341 Sb
0.000 2.467 3.885 Sb
0.000 2.467 7.040 Sb
2.136 1.233 8.985 Sb
2.136 1.233 12.140 Sb
0.000 0.000 4.494 Ir
0.000 0.000 11.531 Ir
0.000 2.467 9.896 Ir
0.000 2.467 15.607 Ir
2.136 1.233 0.418 Ir
2.136 1.233 6.128 Ir

GGA-PBE Pr3SmEr7, relaxed; ΔE to the lowest computed polymorph = 0.0000 eV per atom; DOS at the Fermi energy = 16.6 states/eV per cell; final energy = -4.46 eV/atom; calculated formation energy = 0.176 eV per atom
1.0
7.058 0.000 0.000
-3.529 6.113 0.000
0.000 0.000 8.712
Pr Sm Er
3 1 7
Cartesian
0.000 2.041 0.000 Pr
-1.762 5.092 0.000 Pr
1.762 5.092 0.000 Pr
0.000 0.000 5.749 Sm
-1.756 3.061 5.743 Er
1.760 1.016 2.943 Er
0.000 4.075 2.955 Er
1.756 3.061 5.743 Er
0.000 6.103 5.743 Er
5.298 1.016 2.943 Er
3.529 4.081 2.943 Er

GGA-PBE SrTm2Al, relaxed; ΔE to the lowest computed polymorph = 0.2378 eV per atom; DOS at the Fermi energy = 3.8 states/eV per cell; final energy = -3.44 eV/atom; calculated formation energy = 0.151 eV per atom
1.0
1.796 1.037 11.480
-1.796 1.037 11.480
0.000 -2.074 11.480
Sr Tm Al
1 2 1
Cartesian
0.000 0.000 0.000 Sr
0.000 0.000 3.566 Tm
0.000 0.000 30.874 Tm
0.000 0.000 17.220 Al

GGA-PBE CaLa2Mg, relaxed; DOS at the Fermi energy = 6.2 states/eV per cell; final energy = -3.29 eV/atom; calculated formation energy = 0.068 eV per atom
1.0
1.844 1.065 12.051
-1.844 1.065 12.051
0.000 -2.129 12.051
Ca La Mg
1 2 1
Cartesian
0.000 0.000 0.000 Ca
0.000 0.000 20.831 La
0.000 0.000 27.411 La
0.000 0.000 6.047 Mg

GGA-PBE ThZrAl2, relaxed; ΔE to the lowest computed polymorph = 0.1647 eV per atom; DOS at the Fermi energy = 5.6 states/eV per cell; final energy = -6.04 eV/atom; calculated formation energy = -0.177 eV per atom
1.0
0.000 3.571 3.571
3.571 0.000 3.571
3.571 3.571 0.000
Th Zr Al
1 1 2
Cartesian
0.000 0.000 0.000 Th
3.571 3.571 3.571 Zr
1.786 1.786 1.786 Al
5.357 5.357 5.357 Al